[1]
{
  "formula": "ScCdSe2",
  "functional": "GGA-PBE",
  "state": "relaxed",
  "lattice_angstrom": [[8.014, 0.049, 0.030], [6.915, 4.052, 0.030], [6.915, 1.899, 3.579]],
  "species": ["Cd", "Sc", "Se", "Se"],
  "frac_coords": [[0.497, 0.497, 0.497], [0.252, 0.252, 0.252], [0.966, 0.966, 0.966], [0.785, 0.785, 0.785]],
  "volume_a3_per_atom": 28.54,
  "magnetic_moment_mub_per_atom": 0.000,
  "spacegroup": "R3m (160)",
  "dos_at_fermi_per_ev_cell": 1.18,
  "energy_ev_per_cell": -17.2,
  "raw_formation_energy_kj_per_mol_atoms": -72.7
}


[2]
{
  "formula": "ScCdSe2",
  "functional": "GGA-PBE",
  "state": "relaxed",
  "lattice_angstrom": [[3.482, -0.005, 0.000], [0.004, 3.482, 0.000], [0.000, 0.000, 7.007]],
  "species": ["Cd", "Sc", "Se", "Se"],
  "frac_coords": [[0.500, 0.500, 0.250], [0.500, 0.500, 0.750], [0.000, 0.000, 0.970], [0.000, 0.000, 0.530]],
  "volume_a3_per_atom": 21.23,
  "magnetic_moment_mub_per_atom": 0.000,
  "spacegroup": "P4/mmm (123)",
  "dos_at_fermi_per_ev_cell": 1.96,
  "energy_ev_per_cell": -17.6,
  "raw_formation_energy_kj_per_mol_atoms": -82.0
}


[3]
{
  "formula": "ScCdSe2",
  "functional": "GGA-PBE",
  "state": "relaxed",
  "lattice_angstrom": [[-4.871, 2.299, 4.662], [-6.261, -2.282, 2.517], [6.845, -1.149, -1.603]],
  "species": ["Cd", "Sc", "Se", "Se"],
  "frac_coords": [[0.463, 0.463, 0.000], [0.207, 0.707, 0.500], [0.051, 0.051, 0.000], [0.779, 0.279, 0.500]],
  "volume_a3_per_atom": 22.74,
  "magnetic_moment_mub_per_atom": 0.000,
  "spacegroup": "Imm2 (44)",
  "dos_at_fermi_per_ev_cell": 1.71,
  "energy_ev_per_cell": -18.0,
  "raw_formation_energy_kj_per_mol_atoms": -92.5
}